# KTi3Tl, optimized geometry, DFT PBE-GGA
data_KTi3Tl
_symmetry_space_group_name_H-M 'P m -3 m'
_symmetry_Int_Tables_number 221
_symmetry_space_group_name_Hall '-P 4 2 3'
_cell_length_a 5.383
_cell_length_b 5.383
_cell_length_c 5.383
_cell_angle_alpha 90.00
_cell_angle_beta 90.00
_cell_angle_gamma 90.00
loop_
_atom_site_label
_atom_site_type_symbol
_atom_site_fract_x
_atom_site_fract_y
_atom_site_fract_z
K1 K 0.000 0.000 0.000
Ti1 Ti 0.000 0.500 0.500
Tl1 Tl 0.500 0.500 0.500
# Density of states at the Fermi level (states/eV per atom): 2.32
# Energy of formation from the pure elements (eV/atom): 1.27